Entry 1:
VASP calculation (SCAN) on a crystal of YInNi2B relaxed with PBEsol.

Calculated values
Energy of formation ... 1.568 eV/atom

```
5
Lattice="4.5854 0.0000 0.0000 0.0000 4.6540 0.0000 0.0000 0.0000 4.6540" Properties=species:S:1:pos:R:3 pbc="T T T"
Y 0.0000 0.0000 0.0000
Ni 0.0000 0.0000 2.3270
Ni 0.0000 2.3270 0.0000
B 2.2927 0.0000 0.0000
In 2.2927 2.3270 2.3270
```

Entry 2:
VASP calculation (SCAN) on a crystal of LiYRh2 relaxed with PBEsol.

Calculated values
Energy of formation ... -0.380 eV/atom

```
4
Lattice="3.8993 0.0000 0.0000 0.0000 3.8993 0.0000 -1.9496 -1.9496 4.2180" Properties=species:S:1:pos:R:3 pbc="T T T"
Li 0.0000 1.9496 2.1090
Rh 0.0000 0.0000 0.0000
Rh 1.9496 0.0000 2.1090
Y 1.9496 1.9496 0.0000
```

Entry 3:
VASP calculation (SCAN) on a crystal of TlAgPb2 relaxed with PBEsol.

Calculated values
Energy of formation ... 0.046 eV/atom
Energy above the most stable polymorph in this dataset ... 0 meV/atom

```
4
Lattice="-1.3025 3.2072 -0.3614 -1.3666 -0.1950 3.1949 7.1167 3.2556 3.2429" Properties=species:S:1:pos:R:3 pbc="T T T"
Pb 5.0853 2.3263 2.3172
Pb 2.0314 0.9293 0.9257
Tl -1.3346 1.5061 1.4168
Ag 2.2238 3.1339 3.0382
```

Entry 4:
VASP calculation (SCAN) on a crystal of Cd7As relaxed with PBEsol.

Calculated values
Energy of formation ... 0.060 eV/atom

```
8
Lattice="6.1576 0.0000 0.0000 3.0788 5.3326 0.0000 3.0788 1.7775 5.0276" Properties=species:S:1:pos:R:3 pbc="T T T"
As 0.0000 0.0000 0.0000
Cd 1.5394 0.8888 2.5138
Cd 1.5394 2.6663 0.0000
Cd 3.0788 0.0000 0.0000
Cd 4.6182 2.6663 0.0000
Cd 4.6182 0.8888 2.5138
Cd 3.0788 3.5551 2.5138
Cd 6.1576 3.5551 2.5138
```

Entry 5:
VASP calculation (SCAN) on a crystal of TaCu2SbPb relaxed with PBEsol.

Calculated values
Formation energy (no corrections) ... 86.8 kJ/mol of atoms

```
5
Lattice="-1.1033 -0.7155 4.6545 -4.2146 -1.9826 -1.3038 2.2701 -4.7042 -0.1850" Properties=species:S:1:pos:R:3 pbc="T T T"
Pb -1.5239 -3.7011 1.5828
Sb 1.1350 -2.3521 -0.0925
Cu -2.1073 -0.9913 -0.6519
Cu -0.5517 -0.3577 2.3272
Ta 0.0000 0.0000 0.0000
```

Entry 6:
VASP calculation (SCAN) on a crystal of DyAlGa relaxed with PBEsol.

Calculated values
Energy of formation ... -0.654 eV/atom

```
3
Lattice="-1.4411 -2.4950 1.9874 -0.3374 -2.6180 -3.5313 3.6360 -0.1160 2.4909" Properties=species:S:1:pos:R:3 pbc="T T T"
Al 0.2665 -3.0315 -0.5302
Ga 1.5910 -2.1975 1.4772
Dy 0.0000 0.0000 0.0000
```

Entry 7:
VASP calculation (SCAN) on a crystal of LaCd20Ni2 relaxed with PBEsol.

Calculated values
Energy of formation ... -0.113 eV/atom

```
46
Lattice="-6.9745 7.7609 3.2688 -10.3337 -0.0789 -3.5732 -8.1382 -2.5007 6.8611" Properties=species:S:1:pos:R:3 pbc="T T T"
La 0.0000 0.0000 0.0000
La -6.3616 1.2953 1.6392
Cd -17.0840 0.5097 3.7129
Cd -9.5654 6.0074 1.9038
Cd -8.9894 5.3720 4.6415
Cd -15.2541 -1.5266 2.8553
Cd -9.5343 0.5673 6.3235
Cd -16.5391 5.3143 2.0310
Cd -14.4038 5.9705 0.2308
Cd -10.4157 -1.4896 4.5283
Cd -11.1383 2.3367 -1.2997
Cd -12.7998 4.2011 7.8540
Cd -15.5111 4.1804 6.9164
Cd -11.4436 -0.3557 -0.3572
Cd -14.7240 5.9668 4.4830
Cd -14.1044 2.9699 -0.5690
Cd -12.4849 1.1835 7.1276
Cd -9.5795 0.2423 2.0718
Cd -11.9400 5.9881 5.4456
Cd -15.2689 1.1622 6.1650
Cd -9.2660 3.0068 1.1041
Cd -14.4179 0.2053 0.3988
Cd -12.5315 6.6406 2.6346
Cd -8.6745 2.3544 3.9151
Cd -16.2969 2.2962 1.2795
Cd -13.3900 -0.9286 5.2843
Cd -13.9722 3.9776 2.3024
Cd -11.4742 1.2036 4.2544
Cd -13.3742 3.3178 5.1449
Cd -12.0723 1.8634 1.4119
Cd -11.1572 3.9991 3.2758
Cd -14.2893 1.1821 3.2810
Cd -17.8358 2.4989 5.8936
Cd -20.3338 5.2729 3.9416
Cd -18.4339 3.1587 3.0511
Cd -19.7358 4.6131 6.7840
Cd -20.6509 2.4774 4.9202
Cd -17.5188 5.2944 4.9150
Cd -3.1808 0.6477 0.8196
Cd -7.2499 -0.6027 4.2501
Cd -8.3477 0.6082 -0.9670
Cd -6.6680 4.5281 2.4540
Ni -15.9040 3.2383 4.0980
Ni -11.8349 4.4886 0.6674
Ni -10.7372 3.2777 5.8846
Ni -12.4168 -0.6422 2.4636
```

Entry 8:
VASP calculation (SCAN) on a crystal of YRe2Te relaxed with PBEsol.

Calculated values
Formation energy (no corrections) ... 47.1 kJ/mol of atoms

```
4
Lattice="-1.7065 -2.4263 -2.5921 -0.6404 -2.6184 2.8726 -4.2770 2.0402 0.9061" Properties=species:S:1:pos:R:3 pbc="T T T"
Re -0.3202 -1.3092 1.4363
Re -0.8533 -1.2132 -1.2960
Te -3.3120 -1.5023 0.5933
Y -2.1385 1.0201 0.4530
```

Entry 9:
VASP calculation (SCAN) on a crystal of CrAg2Cl relaxed with PBEsol.

Calculated values
Formation energy (no corrections) ... 14.1 kJ/mol of atoms

```
4
Lattice="3.0207 0.0000 0.0000 0.0000 5.1855 0.0000 0.0000 -2.5928 4.5648" Properties=species:S:1:pos:R:3 pbc="T T T"
Cr 1.5104 2.5928 0.0000
Ag 0.0000 1.2964 2.2824
Ag 0.0000 -1.2964 2.2824
Cl 1.5104 0.0000 0.0000
```

Entry 10:
VASP calculation (SCAN) on a crystal of LiBr3 relaxed with PBEsol.

Calculated values
Formation energy (no corrections) ... -51.8 kJ/mol of atoms
Energy above the most stable polymorph in this dataset ... 0 meV/atom

```
4
Lattice="-2.5670 -1.0881 -4.1289 -3.0415 -3.2423 2.7454 -3.2998 3.9510 1.0104" Properties=species:S:1:pos:R:3 pbc="T T T"
Br -3.8129 0.0821 0.8449
Br -1.2835 -0.5440 -2.0645
Br -5.0954 -0.4615 -1.2180
Li 0.0000 0.0000 0.0000
```